# 1
{
  "formula": "Tm4ScCd",
  "functional": "GGA-PBE",
  "state": "relaxed",
  "polymorph_energy_kcal_per_mol_atoms": 0.000,
  "ef_ev_per_atom": -0.07,
  "vol_a3_per_atom": 27.60,
  "n_ef_per_ev_fu": 8.79,
  "lattice_angstrom": [[3.4655, 0.0000, 0.0000], [0.0000, 3.4655, 0.0000], [0.0000, 0.0000, 13.7888]],
  "species": ["Tm", "Tm", "Tm", "Tm", "Sc", "Cd"],
  "frac_coords": [[0.0000, 0.0000, 0.3465], [0.5000, 0.5000, 0.8332], [0.0000, 0.0000, 0.6535], [0.5000, 0.5000, 0.1668], [0.0000, 0.0000, 0.0000], [0.5000, 0.5000, 0.5000]]
}

---

# 2
{
  "formula": "TmScCd",
  "functional": "GGA-PBE",
  "state": "relaxed",
  "polymorph_energy_kcal_per_mol_atoms": 1.846,
  "ef_ev_per_atom": -0.10,
  "vol_a3_per_atom": 25.27,
  "n_ef_per_ev_fu": 3.59,
  "lattice_angstrom": [[3.3596, 0.0004, 0.2269], [-0.0007, 3.3675, 0.0052], [-0.9045, -0.0203, 13.3411]],
  "species": ["Tm", "Tm", "Sc", "Sc", "Cd", "Cd"],
  "frac_coords": [[0.8723, 0.2913, 0.4949], [0.3724, 0.7911, 0.0174], [0.3724, 0.7912, 0.6735], [0.8724, 0.2911, 0.8389], [0.8726, 0.2908, 0.1826], [0.3724, 0.7911, 0.3296]]
}

---

# 3
{
  "formula": "TmSc2Cd4",
  "functional": "GGA-PBE",
  "state": "relaxed",
  "ef_ev_per_atom": -0.16,
  "vol_a3_per_atom": 25.49,
  "n_ef_per_ev_fu": 2.77,
  "lattice_angstrom": [[-5.0364, 3.3517, 1.0754], [-0.5515, -5.3466, 2.9775], [4.8941, 3.1698, 1.9382]],
  "species": ["Tm", "Cd", "Cd", "Cd", "Cd", "Sc", "Sc"],
  "frac_coords": [[0.0000, 0.0000, 0.0000], [0.5000, 0.0000, 0.0000], [0.5000, 0.5000, 0.5000], [0.0000, 0.5000, 0.0000], [0.0000, 0.0000, 0.5000], [0.5000, 0.0000, 0.5000], [0.5000, 0.5000, 0.0000]]
}